# CsRbHf | OQMD | PBE | relaxed
data_CsRbHf
_cell_length_a 6.4539
_cell_length_b 6.4539
_cell_length_c 6.4539
_cell_angle_alpha 60.00
_cell_angle_beta 60.00
_cell_angle_gamma 60.00
_space_group_name_H-M_alt 'P 1'
_space_group_IT_number 1
_space_group_name_Hall 'P 1'
loop_
_atom_site_label
_atom_site_fract_x
_atom_site_fract_y
_atom_site_fract_z
Cs1 0.0000 0.0000 0.0000
Hf1 0.2500 0.2500 0.2500
Rb1 0.7500 0.7500 0.7500
# * ΔE to the lowest computed polymorph: 0.087 eV/atom
# * crystal system: cubic

***

# Al2FeCu4Ni | OQMD | PBE | relaxed
data_Al2FeCu4Ni
_cell_length_a 7.1841
_cell_length_b 7.1841
_cell_length_c 7.1841
_cell_angle_alpha 133.77
_cell_angle_beta 133.77
_cell_angle_gamma 67.44
_space_group_name_H-M_alt 'P 1'
_space_group_IT_number 1
_space_group_name_Hall 'P 1'
loop_
_atom_site_label
_atom_site_fract_x
_atom_site_fract_y
_atom_site_fract_z
Al1 0.0014 0.0014 0.0000
Al2 0.4986 0.4986 0.0000
Al3 0.7486 0.2486 0.5000
Al4 0.2514 0.7514 0.5000
Cu1 0.6260 0.1250 0.0010
Cu2 0.8750 0.3760 0.0010
Cu3 0.1240 0.1250 0.4990
Cu4 0.8750 0.8740 0.4990
Cu5 0.3750 0.3760 0.5010
Cu6 0.6260 0.6250 0.5010
Cu7 0.3750 0.8740 0.9990
Cu8 0.1240 0.6250 0.9990
Fe1 0.2500 0.2500 0.0000
Fe2 0.5000 0.0000 0.5000
Ni1 0.7500 0.7500 0.0000
Ni2 0.0000 0.5000 0.5000
# * ΔE to the lowest computed polymorph: 0.010 eV/atom
# * crystal system: tetragonal

***

# ZrScSbC | OQMD | PBE | relaxed
data_ZrScSbC
_cell_length_a 3.4083
_cell_length_b 3.4083
_cell_length_c 14.3025
_cell_angle_alpha 90.00
_cell_angle_beta 90.00
_cell_angle_gamma 120.00
_space_group_name_H-M_alt 'P 1'
_space_group_IT_number 1
_space_group_name_Hall 'P 1'
loop_
_atom_site_label
_atom_site_fract_x
_atom_site_fract_y
_atom_site_fract_z
C1 0.0000 0.0000 0.2499
C2 0.0000 0.0000 0.7501
Sb1 0.6667 0.3333 0.0000
Sb2 0.3333 0.6667 0.5000
Sc1 0.6667 0.3333 0.3347
Sc2 0.6667 0.3333 0.6653
Zr1 0.3333 0.6667 0.1637
Zr2 0.3333 0.6667 0.8363
# * ΔE to the lowest computed polymorph: 0.000 eV/atom
# * crystal system: hexagonal